[1]
DFT (GGA-PBE) results for AcZnAs2 after structural relaxation.

The density comes out at 7.6 g/cm³. The density of states at the Fermi level is 2.75 states/eV per cell. The calculation puts the formation energy at -12.9 kcal/mol of atoms. The energy relative to the lowest polymorph listed for this composition is 170 meV per atom.

Unit cell a=4.6255 b=4.6255 c=5.8554 alpha=66.74 beta=66.74 gamma=60.00
Atoms (fractional coordinates):
Ac 0.0000 0.0000 0.0000
Zn 0.5000 0.5000 0.5000
As 0.2155 0.2155 0.3535
As 0.7845 0.7845 0.6465

***

[2]
DFT (GGA-PBE) results for In3SBr after structural relaxation.

The density comes out at 3.6 g/cm³. The density of states at the Fermi level is 0.00 states/eV per cell. The energy relative to the lowest polymorph listed for this composition is 356 meV per atom.

Unit cell a=5.9439 b=5.9439 c=5.9439 alpha=90.00 beta=90.00 gamma=90.00
Atoms (fractional coordinates):
In 0.5000 0.0000 0.0000
In 0.0000 0.0000 0.5000
In 0.0000 0.5000 0.0000
Br 0.0000 0.0000 0.0000
S 0.5000 0.5000 0.5000

***

[3]
DFT (GGA-PBE) results for LiTeW2 after structural relaxation.

The density comes out at 11.6 g/cm³. The density of states at the Fermi level is 2.95 states/eV per cell. The calculation puts the energy at -7.1405 eV per atom.

Unit cell a=3.8129 b=3.8129 c=10.2758 alpha=79.31 beta=79.31 gamma=90.00
Atoms (fractional coordinates):
Te 0.7500 0.2500 0.5000
Te 0.0000 0.0000 0.0000
W 0.3750 0.3944 0.7500
W 0.6056 0.1250 0.2500
W 0.8750 0.8556 0.7500
W 0.1444 0.6250 0.2500
Li 0.2500 0.7500 0.5000
Li 0.5000 0.5000 0.0000

***

[4]
DFT (GGA-PBE) results for LiBeCdAu2 after structural relaxation.

The density comes out at 7.0 g/cm³. The density of states at the Fermi level is 1.81 states/eV per cell. The calculation puts the formation energy at 12.4 kcal/mol of atoms.

Unit cell a=5.2442 b=4.5335 c=5.2442 alpha=90.00 beta=90.00 gamma=90.00
Atoms (fractional coordinates):
Au 0.0000 0.0000 0.5000
Au 0.5000 0.0000 0.0000
Li 0.5000 0.5000 0.5000
Be 0.0000 0.5000 0.0000
Cd 0.0000 0.0000 0.0000

***

[5]
DFT (GGA-PBE) results for BaZr2Cu after structural relaxation.

The density comes out at 6.4 g/cm³. The density of states at the Fermi level is 3.93 states/eV per cell. The calculation puts the formation energy at 11.9 kcal/mol of atoms. The energy relative to the lowest polymorph listed for this composition is 371 meV per atom.

Unit cell a=6.2381 b=6.2381 c=6.2381 alpha=147.56 beta=129.75 gamma=61.09
Atoms (fractional coordinates):
Zr 0.2375 0.7375 0.5000
Zr 0.9578 0.9578 0.0000
Ba 0.5311 0.5311 0.0000
Cu 0.7737 0.2737 0.5000

***

[6]
DFT (GGA-PBE) results for KTlSi2 after structural relaxation.

The density comes out at 4.1 g/cm³. The density of states at the Fermi level is 1.58 states/eV per cell. The energy relative to the lowest polymorph listed for this composition is 208 meV per atom.

Unit cell a=5.0078 b=3.6441 c=6.7632 alpha=84.22 beta=90.00 gamma=90.00
Atoms (fractional coordinates):
Si 0.0000 0.0096 0.1231
Si 0.0000 0.4904 0.3769
K 0.5000 0.7500 0.7500
Tl 0.5000 0.2500 0.2500

***

[7]
DFT (GGA-PBE) results for Nd6Dy2Er3 after structural relaxation.

The density comes out at 7.3 g/cm³. The density of states at the Fermi level is 16.20 states/eV per cell. The calculation puts the formation energy at 6.9 kcal/mol of atoms. The energy relative to the lowest polymorph listed for this composition is 196 meV per atom.

Unit cell a=4.7582 b=4.7582 c=17.2986 alpha=97.90 beta=97.90 gamma=90.00
Atoms (fractional coordinates):
Nd 0.7046 0.7046 0.4092
Nd 0.3797 0.8797 0.7595
Nd 0.6203 0.1203 0.2405
Nd 0.2954 0.2954 0.5908
Nd 0.8797 0.3797 0.7595
Nd 0.1203 0.6203 0.2405
Er 0.1945 0.1945 0.3891
Er 0.8055 0.8055 0.6109
Er 0.0000 0.0000 0.0000
Dy 0.5450 0.5450 0.0900
Dy 0.4550 0.4550 0.9100

***

[8]
DFT (GGA-PBE) results for NaLiGe2 after structural relaxation.

The density comes out at 3.9 g/cm³. The density of states at the Fermi level is 0.01 states/eV per cell. The calculation puts the formation energy at 0.2 kcal/mol of atoms. The energy relative to the lowest polymorph listed for this composition is 186 meV per atom.

Unit cell a=4.7412 b=4.7412 c=4.7412 alpha=60.00 beta=60.00 gamma=60.00
Atoms (fractional coordinates):
Ge 0.7500 0.7500 0.7500
Ge 0.2500 0.2500 0.2500
Li 0.0000 0.0000 0.0000
Na 0.5000 0.5000 0.5000

***

[9]
DFT (GGA-PBE) results for In8BiPb2 after structural relaxation.

The density comes out at 7.8 g/cm³. The density of states at the Fermi level is 6.60 states/eV per cell. The calculation puts the formation energy at 1.1 kcal/mol of atoms.

Unit cell a=4.6458 b=4.6458 c=15.1180 alpha=90.00 beta=90.00 gamma=90.00
Atoms (fractional coordinates):
Pb 0.0000 0.0000 0.3288
Pb 0.0000 0.0000 0.6712
In 0.0000 0.5000 0.1532
In 0.5000 0.0000 0.1532
In 0.5000 0.5000 0.6779
In 0.5000 0.0000 0.5000
In 0.5000 0.0000 0.8468
In 0.0000 0.5000 0.8468
In 0.5000 0.5000 0.3221
In 0.0000 0.5000 0.5000
Bi 0.0000 0.0000 0.0000

***

[10]
DFT (GGA-PBE) results for KCo2Sn after structural relaxation.

The density comes out at 4.4 g/cm³. The density of states at the Fermi level is 10.18 states/eV per cell. The calculation puts the formation energy at 14.7 kcal/mol of atoms.

Unit cell a=4.8255 b=4.8255 c=9.5423 alpha=75.35 beta=75.35 gamma=90.00
Last column: magnetic moment on the atom in μB.
Atoms (fractional coordinates):
Co 0.3750 0.1253 0.7500  1.36
Co 0.8750 0.1247 0.7500  1.27
Co 0.8747 0.1250 0.2500  1.63
Co 0.8753 0.6250 0.2500  1.62
Sn 0.0000 0.0000 0.0000  -0.07
Sn 0.7500 0.2500 0.5000  -0.07
K 0.2500 0.7500 0.5000  -0.01
K 0.5000 0.5000 0.0000  -0.01

***

[11]
DFT (GGA-PBE) results for VP2OsS after structural relaxation.

The density comes out at 5.4 g/cm³. The density of states at the Fermi level is 3.20 states/eV per cell. The energy relative to the lowest polymorph listed for this composition is 0 meV per atom.

Unit cell a=4.4278 b=4.4278 c=5.2187 alpha=90.00 beta=90.00 gamma=90.00
Last column: magnetic moment on the atom in μB.
Atoms (fractional coordinates):
Os 0.0000 0.0000 0.0000  0.17
P 0.0000 0.5000 0.0000  -0.09
P 0.5000 0.0000 0.0000  -0.09
S 0.0000 0.0000 0.5000  -0.12
V 0.5000 0.5000 0.5000  2.86

***

[12]
DFT (GGA-PBE) results for SrCaLa2S after structural relaxation.

The density comes out at 3.8 g/cm³. The density of states at the Fermi level is 7.72 states/eV per cell. The energy relative to the lowest polymorph listed for this composition is 0 meV per atom.

Unit cell a=5.6887 b=5.6887 c=5.8958 alpha=90.00 beta=90.00 gamma=90.00
Atoms (fractional coordinates):
La 0.0000 0.5000 0.0000
La 0.5000 0.0000 0.0000
Sr 0.0000 0.0000 0.5000
Ca 0.5000 0.5000 0.5000
S 0.0000 0.0000 0.0000